Record 1
# TaAsOs2 | Alexandria | PBE | relaxed
# - DFT total energy: -9.69 eV/atom
# - Formation energy: 0.047 eV per atom
data_TaAsOs2
_cell_length_a 4.041
_cell_length_b 2.866
_cell_length_c 10.647
_cell_angle_alpha 90.00
_cell_angle_beta 90.00
_cell_angle_gamma 90.00
_space_group_name_H-M_alt 'A m m 2'
_space_group_IT_number 38
_space_group_name_Hall 'A 2 -2'
loop_
_atom_site_label
_atom_site_fract_x
_atom_site_fract_y
_atom_site_fract_z
_atom_site_occupancy
Ta1 0.000 0.000 0.000 1
As1 0.500 0.000 0.609 1
Os1 0.000 0.000 0.745 1
Os2 0.500 0.000 0.361 1

Record 2
# PrHo5Hg3 | Alexandria | PBE | relaxed
# - DFT total energy: -3.47 eV/atom
# - Formation energy: -0.291 eV per atom
data_PrHo5Hg3
_cell_length_a 9.0945
_cell_length_b 9.0945
_cell_length_c 6.9451
_cell_angle_alpha 90.00
_cell_angle_beta 90.00
_cell_angle_gamma 120.00
_space_group_name_H-M_alt 'P 63/m c m'
_space_group_IT_number 193
_space_group_name_Hall '-P 6c 2'
loop_
_atom_site_label
_atom_site_fract_x
_atom_site_fract_y
_atom_site_fract_z
_atom_site_occupancy
Pr1 0.0000 0.0000 0.0000 1
Ho1 0.0000 0.3312 0.2500 1
Ho2 0.3333 0.6667 0.0000 1
Hg1 0.0000 0.3409 0.7500 1

Record 3
# Pm4AlTl3 | Alexandria | PBE | relaxed
# - Distance to the lowest polymorph of the same formula: 0.000 eV/atom
# - DFT total energy: -4.11 eV/atom
# - Formation energy: -0.381 eV per atom
data_Pm4AlTl3
_cell_length_a 3.816
_cell_length_b 3.816
_cell_length_c 15.553
_cell_angle_alpha 90.00
_cell_angle_beta 90.00
_cell_angle_gamma 90.00
_space_group_name_H-M_alt 'P 4/m m m'
_space_group_IT_number 123
_space_group_name_Hall '-P 4 2'
loop_
_atom_site_label
_atom_site_fract_x
_atom_site_fract_y
_atom_site_fract_z
_atom_site_occupancy
Pm1 0.000 0.000 0.115 1
Pm2 0.000 0.000 0.371 1
Al1 0.500 0.500 0.000 1
Tl1 0.500 0.500 0.243 1
Tl2 0.500 0.500 0.500 1